## AcAg2Pd (PBE)

Data for AcAg2Pd after structural relaxation.

Calculated values
ΔE_f   -186 meV/atom
Polymorph energy (0 for the lowest one)   252 meV/atom

Unit cell a=5.1244 b=5.1244 c=5.1244 alpha=60.00 beta=60.00 gamma=60.00
Last column: nearest neighbours and their distance in Å.
Element x y z (fractional)
Ac (0.5000, 0.5000, 0.5000)  8 Ag 3.14
Pd (0.0000, 0.0000, 0.0000)  8 Ag 3.14
Ag (0.2500, 0.2500, 0.2500)  4 Ac 3.14, 4 Pd 3.14
Ag (0.7500, 0.7500, 0.7500)  4 Pd 3.14, 4 Ac 3.14

---

## Ac6Ag2Pd (PBE)

Data for Ac6Ag2Pd after structural relaxation.

Calculated values
ΔE_f   -246 meV/atom

Unit cell a=7.2031 b=8.2262 c=11.3142 alpha=90.00 beta=93.45 gamma=90.00
Last column: nearest neighbours and their distance in Å.
Element x y z (fractional)
Ac (0.8512, 0.9601, 0.2430)  1 Pd 3.06, 2 Ag 3.28-3.30
Ac (0.8399, 0.6710, 0.5632)  1 Pd 3.04, 2 Ag 3.32-3.34
Ac (0.8326, 0.6987, 0.9351)  1 Pd 3.03, 2 Ag 3.26-3.31
Ac (0.6674, 0.1987, 0.5649)  1 Pd 3.03, 2 Ag 3.26-3.31
Ac (0.6601, 0.1710, 0.9368)  1 Pd 3.04, 2 Ag 3.32-3.34
Ac (0.6488, 0.4601, 0.2570)  1 Pd 3.06, 2 Ag 3.28-3.30
Ac (0.1488, 0.0399, 0.7570)  1 Pd 3.06, 2 Ag 3.28-3.30
Ac (0.1601, 0.3290, 0.4368)  1 Pd 3.04, 2 Ag 3.32-3.34
Ac (0.1674, 0.3013, 0.0649)  1 Pd 3.03, 2 Ag 3.26-3.31
Ac (0.3326, 0.8013, 0.4351)  1 Pd 3.03, 2 Ag 3.26-3.31
Ac (0.3399, 0.8290, 0.0632)  1 Pd 3.04, 2 Ag 3.32-3.34
Ac (0.3512, 0.5399, 0.7430)  1 Pd 3.06, 2 Ag 3.28-3.30
Ag (0.9315, 0.3891, 0.7710)  6 Ac 3.26-3.34
Ag (0.5685, 0.8891, 0.7290)  6 Ac 3.26-3.34
Ag (0.4315, 0.1109, 0.2710)  6 Ac 3.26-3.34
Ag (0.0685, 0.6109, 0.2290)  6 Ac 3.26-3.34
Pd (0.5000, 0.5000, 0.0000)  6 Ac 3.03-3.06
Pd (0.0000, 0.0000, 0.5000)  6 Ac 3.03-3.06

---

## Ac6AgPd4 (PBE)

Data for Ac6AgPd4 after structural relaxation.

Calculated values
ΔE_f   -549 meV/atom

Unit cell a=6.2542 b=6.2541 c=9.9229 alpha=108.34 beta=108.34 gamma=90.15
Last column: nearest neighbours and their distance in Å.
Element x y z (fractional)
Ac (0.0785, 0.5671, 0.6454)  5 Pd 3.20-3.26
Ac (0.5671, 0.0785, 0.6454)  5 Pd 3.20-3.26
Ac (0.9210, 0.9210, 0.3542)  5 Pd 3.20-3.26
Ac (0.0017, 0.4996, 0.0000)  2 Ag 3.12-3.13, 4 Pd 3.31-3.32
Ac (0.4328, 0.4328, 0.3550)  5 Pd 3.20-3.27
Ac (0.4996, 0.0017, 0.0000)  2 Ag 3.13, 4 Pd 3.31-3.32
Ag (0.9993, 0.9993, 0.0001)  4 Ac 3.12-3.13, 4 Pd 3.27-3.29
Pd (0.8948, 0.3827, 0.2781)  7 Ac 3.20-3.32, 1 Ag 3.28
Pd (0.6179, 0.6179, 0.7227)  7 Ac 3.20-3.32, 1 Ag 3.27
Pd (0.3827, 0.8948, 0.2781)  7 Ac 3.20-3.32, 1 Ag 3.28
Pd (0.1047, 0.1047, 0.7210)  7 Ac 3.20-3.32, 1 Ag 3.29